[1]
Entry from the Alexandria database: a relaxed structure of AcPuN (PBE).

Values from the calculation:
VASP energy: -55.6 eV for the cell shown
ΔE_f (raw): -98.3 kJ/mol of formula units
ΔE to the lowest computed polymorph: 261 meV per atom
ρ: 10.05 g/cm³

Cell lengths 3.4021, 3.4021, 13.8487 Å; angles 90.00, 90.00, 90.00 degrees
Space group I4mm (No. 107)
One atom of each set of equivalent atoms:
Ac: 0.0000 0.0000 0.0000 (multiplicity 2)
Pu: 0.0000 0.0000 0.7136 (multiplicity 2)
N: 0.0000 0.0000 0.1810 (multiplicity 2)

[2]
Entry from the Alexandria database: a relaxed structure of ZnPtN2O (PBE).

Values from the calculation:
VASP energy: -20.5 eV for the cell shown
ΔE_f (raw): 815.8 kJ/mol of formula units
ρ: 8.87 g/cm³

Cell lengths 3.9082, 3.9082, 3.7340 Å; angles 90.00, 90.00, 90.00 degrees
Space group P4/mmm (No. 123)
One atom of each set of equivalent atoms:
Zn: 0.0000 0.0000 0.0000 (multiplicity 1)
Pt: 0.5000 0.5000 0.5000 (multiplicity 1)
N: 0.0000 0.5000 0.0000 (multiplicity 2)
O: 0.0000 0.0000 0.5000 (multiplicity 1)